A geometry-optimized PmSc2UO8 structure, computed with PBE.

## Properties
raw formation energy = -37.57 eV per formula unit

a = 6.9633 Å, b = 6.9659 Å, c = 6.9525 Å
α = 90.00°, β = 90.00°, γ = 90.00°
Space group Cmmm (No. 65)
Asymmetric unit:
Pm1 0.0000 0.0000 0.0000
Sc1 0.0000 0.5000 0.2546
U1 0.0000 0.0000 0.5000
O1 0.0000 0.1964 0.2756
O2 0.1712 0.5000 0.0000
O3 0.1967 0.5000 0.5000

***

A geometry-optimized Pm2ScUO8 structure, computed with PBE.

## Properties
raw formation energy = -37.55 eV per formula unit

a = 3.8593 Å, b = 5.3956 Å, c = 7.4938 Å
α = 90.00°, β = 90.00°, γ = 90.00°
Space group Pmmm (No. 47)
Asymmetric unit:
Pm1 0.0000 0.0000 0.2481
Sc1 0.5000 0.5000 0.0000
U1 0.5000 0.5000 0.5000
O1 0.0000 0.2711 0.5000
O2 0.0000 0.2783 0.0000
O3 0.5000 0.2679 0.2647

***

raw formation energy of number 2 (Pm2ScUO8)? -37.55 eV per formula unit

***

Among the records above, which one has the highest raw formation energy? Pm2ScUO8

***

Among the records above, which one has the lowest raw formation energy? PmSc2UO8

***

What is the raw formation energy in the first record? -37.57 eV per formula unit